{"formula": "PuHfCoO6", "functional": "GGA+U", "state": "relaxed", "magmom_total_mub_per_atom": 0.56, "vol_a3_per_atom": 12.83, "total_energy_ev_per_cell": -160.84, "lattice_angstrom": [[5.482, 0.000, 0.000], [-2.741, 4.748, 0.000], [0.000, 0.000, 8.871]], "species": ["O", "O", "O", "O", "Co", "Hf", "Pu", "O", "O", "O", "Pu", "O", "Hf", "O", "O", "O", "O", "Co"], "frac_coords": [[0.342, 0.998, 0.631], [0.656, 0.998, 0.869], [0.344, 0.002, 0.131], [0.998, 0.656, 0.369], [0.000, 0.000, 0.000], [0.333, 0.667, 0.250], [0.667, 0.333, 0.250], [0.658, 0.002, 0.369], [0.002, 0.344, 0.631], [0.998, 0.342, 0.131], [0.333, 0.667, 0.750], [0.656, 0.658, 0.631], [0.667, 0.333, 0.750], [0.002, 0.658, 0.869], [0.658, 0.656, 0.131], [0.342, 0.344, 0.869], [0.344, 0.342, 0.369], [0.000, 0.000, 0.500]]}